# Mg6ZnCr

An optimized crystal structure of Mg6ZnCr (PBE, Alexandria).

Results
ΔE_f: 0.114 eV per atom
Symmetry: No. 38
Volume: 20.42 Å³ per atom
Distance to the lowest polymorph of the same formula: 0 meV/atom

a b c (Å): 4.9510 6.1811 10.6763
angles (deg): 90.00 90.00 90.00
Sites, in units of the cell vectors:
Mg (0.0000, 0.0000, 0.0000)
Mg (0.0000, 0.2435, 0.2537)
Mg (0.0000, 0.2565, 0.7537)
Mg (0.0000, 0.5000, 0.5000)
Mg (0.0000, 0.7435, 0.7537)
Mg (0.0000, 0.7565, 0.2537)
Mg (0.5000, 0.0000, 0.8319)
Mg (0.5000, 0.2433, 0.5802)
Mg (0.5000, 0.2567, 0.0802)
Mg (0.5000, 0.5000, 0.3319)
Mg (0.5000, 0.7433, 0.0802)
Mg (0.5000, 0.7567, 0.5802)
Zn (0.0000, 0.0000, 0.4920)
Zn (0.0000, 0.5000, 0.9920)
Cr (0.5000, 0.0000, 0.3356)
Cr (0.5000, 0.5000, 0.8356)